Below is crystalline AcFe2SeO8 at its relaxed geometry, with properties calculated at the GGA+U level.

Properties
Spin magnetization in μB/cell: 10.5
E_tot in eV/atom: -6.143

```
AcFe2SeO8
1.0
5.792 -2.436 0.000
5.792 2.436 0.000
-1.784 0.000 5.405
Ac Fe Se O
1 2 1 8
Direct
0.000 0.000 0.000
0.233 0.233 0.644
0.767 0.767 0.356
0.500 0.500 0.500
0.144 0.659 0.303
0.201 0.201 0.312
0.341 0.856 0.697
0.416 0.416 0.732
0.584 0.584 0.268
0.659 0.144 0.303
0.799 0.799 0.688
0.856 0.341 0.697
```